VBiO4: relaxed, PBE with a Hubbard U.

a b c (Å): 6.917 6.917 5.187
angles (deg): 67.98 67.98 115.95
Element x y z (fractional)
V 0.125 0.875 0.250
V 0.875 0.125 0.750
Bi 0.625 0.375 0.250
Bi 0.375 0.625 0.750
O 0.205 0.296 0.358
O 0.704 0.795 0.142
O 0.795 0.704 0.642
O 0.296 0.205 0.858
O 0.654 0.062 0.641
O 0.938 0.346 0.859
O 0.346 0.938 0.359
O 0.062 0.654 0.141

Values from the calculation:
Space-group type: No. 88
Electronic total energy (eV/atom): -6.863